1.
NaWAu PBE relaxed; energy above the most stable polymorph in this dataset = 0.000 eV/atom
1.0
0.000 3.131 3.131
3.131 0.000 3.131
3.131 3.131 0.000
Au Na W
1 1 1
direct
0.000 0.000 0.000 Au
0.250 0.250 0.250 Na
0.750 0.750 0.750 W

2.
ZnFeCuPb PBE relaxed; energy above the most stable polymorph in this dataset = 0.111 eV/atom
1.0
-0.156 0.017 4.467
-3.631 1.539 2.103
-2.705 -2.833 2.152
Cu Fe Pb Zn
1 1 1 1
direct
0.000 0.000 0.000 Cu
0.750 0.750 0.750 Fe
0.250 0.250 0.250 Pb
0.500 0.500 0.500 Zn

3.
Hf3CuP5 PBE relaxed; DFT total energy = -6.95 eV/atom
1.0
-5.779 1.742 1.192
3.247 -3.015 4.268
1.926 4.982 2.054
Cu Hf P
1 3 5
direct
0.000 0.000 0.000 Cu
0.500 0.000 0.500 Hf
0.000 0.500 0.500 Hf
0.500 0.500 0.500 Hf
0.667 0.333 0.184 P
0.333 0.667 0.184 P
0.000 0.000 0.500 P
0.667 0.333 0.816 P
0.333 0.667 0.816 P

4.
NdGdAg2Sb4 PBE relaxed; DFT total energy = -4.61 eV/atom
1.0
-1.774 1.202 3.819
0.008 -4.176 1.318
9.677 1.307 4.084
Ag Gd Nd Sb
2 1 1 4
direct
0.500 0.000 0.502 Ag
0.000 0.500 0.502 Ag
0.000 0.000 0.762 Gd
0.500 0.500 0.236 Nd
0.000 0.000 0.322 Sb
0.500 0.500 0.683 Sb
0.500 0.000 0.996 Sb
0.000 0.500 0.996 Sb

5.
SrMg4Pd PBE relaxed; DFT total energy = -2.51 eV/atom
1.0
8.914 0.000 0.000
0.000 4.283 0.000
0.000 0.000 7.836
Mg Pd Sr
8 2 2
direct
0.566 0.500 0.208 Mg
0.934 0.500 0.208 Mg
0.250 0.500 0.459 Mg
0.000 0.000 0.500 Mg
0.500 0.000 0.500 Mg
0.750 0.500 0.541 Mg
0.066 0.500 0.792 Mg
0.434 0.500 0.792 Mg
0.750 0.000 0.310 Pd
0.250 0.000 0.690 Pd
0.250 0.000 0.094 Sr
0.750 0.000 0.906 Sr

6.
GdTmNO PBE relaxed; energy above the most stable polymorph in this dataset = 0.000 eV/atom
1.0
-3.787 -3.008 0.303
1.167 -1.903 -4.300
2.755 -3.249 2.185
Gd N O Tm
2 2 2 2
direct
0.000 0.000 0.500 Gd
0.500 0.500 0.500 Gd
0.000 0.500 0.499 N
0.500 0.000 0.501 N
0.000 0.000 0.000 O
0.500 0.500 0.000 O
0.500 0.000 0.000 Tm
0.000 0.500 0.000 Tm

7.
HoErU PBE relaxed; ΔH_f (0 K) = 1284 meV/atom; energy above the most stable polymorph in this dataset = 0.000 eV/atom
1.0
0.000 3.641 3.641
3.641 0.000 3.641
3.641 3.641 0.000
Er Ho U
1 1 1
direct
0.000 0.000 0.000 Er
0.250 0.250 0.250 Ho
0.750 0.750 0.750 U

8.
ReBPd2 PBE relaxed; DFT total energy = -6.74 eV/atom
1.0
0.000 2.971 2.971
2.971 0.000 2.971
2.971 2.971 0.000
B Pd Re
1 2 1
direct
0.500 0.500 0.500 B
0.000 0.000 0.000 Pd
0.750 0.750 0.750 Pd
0.250 0.250 0.250 Re

9.
LaHoOs PBE relaxed; ΔH_f (0 K) = 597 meV/atom; energy above the most stable polymorph in this dataset = 0.000 eV/atom
1.0
0.000 3.371 3.371
3.371 0.000 3.371
3.371 3.371 0.000
Ho La Os
1 1 1
direct
0.000 0.000 0.000 Ho
0.250 0.250 0.250 La
0.750 0.750 0.750 Os

10.
Ba2AgAu2 PBE relaxed; DFT total energy = -3.21 eV/atom
1.0
5.191 -3.522 0.000
5.191 3.522 0.000
-2.083 0.000 4.190
Ag Au Ba
1 2 2
direct
0.201 0.201 0.201 Ag
0.914 0.485 0.700 Au
0.485 0.914 0.700 Au
0.912 0.912 0.410 Ba
0.488 0.488 0.990 Ba

11.
TaAlNiOs PBE relaxed; DFT total energy = -8.16 eV/atom
1.0
-2.893 -1.731 2.756
-1.958 2.517 2.965
-4.230 0.951 -0.403
Al Ni Os Ta
1 1 1 1
direct
0.000 0.000 0.000 Al
0.750 0.750 0.750 Ni
0.500 0.500 0.500 Os
0.250 0.250 0.250 Ta

12.
RbSmNO PBE relaxed; energy above the most stable polymorph in this dataset = 0.081 eV/atom
1.0
6.960 0.000 0.000
0.000 9.166 0.000
0.000 0.000 6.280
N O Rb Sm
4 4 4 4
direct
0.485 0.321 0.062 N
0.985 0.679 0.062 N
0.015 0.321 0.562 N
0.515 0.679 0.562 N
0.886 0.062 0.128 O
0.386 0.938 0.128 O
0.614 0.062 0.628 O
0.114 0.938 0.628 O
0.070 0.376 0.030 Rb
0.570 0.624 0.030 Rb
0.430 0.376 0.530 Rb
0.930 0.624 0.530 Rb
0.908 0.099 0.483 Sm
0.408 0.901 0.483 Sm
0.592 0.099 0.983 Sm
0.092 0.901 0.983 Sm

13.
Zr3AsIr PBE relaxed; DFT total energy = -8.59 eV/atom
1.0
1.790 -6.098 0.000
1.790 6.098 0.000
0.000 0.000 9.712
As Ir Zr
2 2 6
direct
0.000 0.000 0.000 As
0.000 0.000 0.500 As
0.747 0.253 0.250 Ir
0.253 0.747 0.750 Ir
0.347 0.653 0.077 Zr
0.080 0.920 0.250 Zr
0.347 0.653 0.423 Zr
0.653 0.347 0.577 Zr
0.920 0.080 0.750 Zr
0.653 0.347 0.923 Zr

14.
CdBiS2Cl PBE relaxed; DFT total energy = -3.58 eV/atom
1.0
-0.984 3.039 5.218
-5.159 0.794 -1.435
-1.866 -7.682 2.458
Bi Cd Cl S
2 2 2 4
direct
0.223 0.250 0.406 Bi
0.777 0.750 0.594 Bi
0.867 0.750 0.121 Cd
0.133 0.250 0.879 Cd
0.499 0.750 0.220 Cl
0.501 0.250 0.780 Cl
0.948 0.250 0.133 S
0.109 0.750 0.433 S
0.891 0.250 0.567 S
0.052 0.750 0.867 S

15.
Cs3HoBr6 PBE relaxed; DFT total energy = -3.59 eV/atom
1.0
8.381 0.000 0.000
0.000 8.855 0.000
-8.248 0.000 11.955
Br Cs Ho
12 6 2
direct
0.318 0.326 0.048 Br
0.229 0.762 0.066 Br
0.107 0.456 0.218 Br
0.893 0.956 0.282 Br
0.771 0.262 0.434 Br
0.682 0.826 0.452 Br
0.318 0.174 0.548 Br
0.229 0.738 0.566 Br
0.107 0.044 0.718 Br
0.893 0.544 0.782 Br
0.771 0.238 0.934 Br
0.682 0.674 0.951 Br
0.500 0.000 0.000 Cs
0.721 0.569 0.247 Cs
0.279 0.069 0.253 Cs
0.500 0.500 0.500 Cs
0.721 0.931 0.747 Cs
0.279 0.431 0.753 Cs
0.000 0.500 0.000 Ho
0.000 0.000 0.500 Ho

16.
TaFeBiOs PBE relaxed; energy above the most stable polymorph in this dataset = 0.000 eV/atom
1.0
-1.327 1.851 3.967
-4.441 0.136 1.088
-1.619 -2.671 3.342
Bi Fe Os Ta
1 1 1 1
direct
0.000 0.000 0.000 Bi
0.750 0.750 0.750 Fe
0.250 0.250 0.250 Os
0.500 0.500 0.500 Ta

17.
DySnPdPt PBE relaxed; energy above the most stable polymorph in this dataset = 0.000 eV/atom
1.0
4.578 0.000 0.000
-2.289 3.964 0.000
0.000 0.000 9.022
Dy Pd Pt Sn
2 2 2 2
direct
0.667 0.333 0.247 Dy
0.333 0.667 0.747 Dy
0.333 0.667 0.412 Pd
0.667 0.333 0.912 Pd
0.333 0.667 0.087 Pt
0.667 0.333 0.587 Pt
0.000 0.000 0.003 Sn
0.000 0.000 0.503 Sn

18.
Co2NiS5 PBE relaxed; DFT total energy = -5.30 eV/atom
1.0
1.647 -5.645 0.000
1.647 5.645 0.000
0.000 0.000 14.420
Co Ni S
4 2 10
direct
0.713 0.287 0.099 Co
0.713 0.287 0.401 Co
0.287 0.713 0.599 Co
0.287 0.713 0.901 Co
0.191 0.809 0.250 Ni
0.809 0.191 0.750 Ni
0.335 0.665 0.051 S
0.084 0.916 0.130 S
0.815 0.185 0.250 S
0.084 0.916 0.370 S
0.335 0.665 0.449 S
0.665 0.335 0.551 S
0.916 0.084 0.630 S
0.185 0.815 0.750 S
0.916 0.084 0.870 S
0.665 0.335 0.949 S

19.
Gd3As2P PBE relaxed; DFT total energy = -6.34 eV/atom
1.0
-0.225 -3.773 -1.648
3.092 0.952 2.557
-5.544 -3.103 7.859
As Gd P
2 3 1
direct
0.333 0.667 0.331 As
0.667 0.333 0.669 As
0.667 0.333 0.161 Gd
0.000 0.000 0.500 Gd
0.333 0.667 0.839 Gd
0.000 0.000 0.000 P

20.
Tm2Al2Ni3Pt PBE relaxed; DFT total energy = -5.66 eV/atom
1.0
-3.314 -2.550 0.096
1.869 1.135 3.565
-5.335 6.956 0.583
Al Ni Pt Tm
2 3 1 2
direct
0.000 0.000 0.503 Al
0.000 0.000 0.993 Al
0.333 0.667 0.435 Ni
0.667 0.333 0.571 Ni
0.667 0.333 0.918 Ni
0.333 0.667 0.078 Pt
0.667 0.333 0.257 Tm
0.333 0.667 0.745 Tm

21.
Ga2Hg2O5 PBE relaxed; energy above the most stable polymorph in this dataset = 0.000 eV/atom
1.0
7.907 0.000 0.000
0.000 3.770 0.000
0.000 0.000 3.770
Ga Hg O
2 2 5
direct
0.258 0.500 0.500 Ga
0.742 0.500 0.500 Ga
0.000 0.000 0.000 Hg
0.500 0.000 0.000 Hg
0.203 0.500 0.000 O
0.797 0.500 0.000 O
0.203 0.000 0.500 O
0.797 0.000 0.500 O
0.500 0.500 0.500 O

22.
Hg9As4O16 PBE relaxed; DFT total energy = -4.20 eV/atom
1.0
-8.349 -4.820 -3.652
0.000 9.641 -3.652
8.349 -4.820 -3.652
As Hg O
8 18 32
direct
0.343 0.614 0.114 As
0.843 0.614 0.114 As
0.614 0.114 0.343 As
0.437 0.437 0.437 As
0.114 0.843 0.614 As
0.114 0.343 0.614 As
0.614 0.114 0.843 As
0.937 0.937 0.937 As
0.644 0.882 0.039 Hg
0.317 0.094 0.047 Hg
0.047 0.317 0.094 Hg
0.539 0.382 0.144 Hg
0.861 0.295 0.233 Hg
0.233 0.861 0.295 Hg
0.094 0.047 0.317 Hg
0.733 0.795 0.361 Hg
0.144 0.539 0.382 Hg
0.382 0.144 0.539 Hg
0.594 0.817 0.547 Hg
0.817 0.547 0.594 Hg
0.882 0.039 0.644 Hg
0.795 0.361 0.733 Hg
0.361 0.733 0.795 Hg
0.547 0.594 0.817 Hg
0.295 0.233 0.861 Hg
0.039 0.644 0.882 Hg
0.285 0.700 0.003 O
0.090 0.901 0.015 O
0.629 0.123 0.018 O
0.221 0.422 0.026 O
0.901 0.015 0.090 O
0.018 0.629 0.123 O
0.518 0.623 0.129 O
0.785 0.503 0.200 O
0.856 0.792 0.211 O
0.422 0.026 0.221 O
0.283 0.283 0.283 O
0.700 0.003 0.285 O
0.356 0.711 0.292 O
0.711 0.292 0.356 O
0.590 0.515 0.401 O
0.026 0.221 0.422 O
0.200 0.785 0.503 O
0.401 0.590 0.515 O
0.623 0.129 0.518 O
0.922 0.721 0.526 O
0.515 0.401 0.590 O
0.129 0.518 0.623 O
0.123 0.018 0.629 O
0.003 0.285 0.700 O
0.292 0.356 0.711 O
0.526 0.922 0.721 O
0.783 0.783 0.783 O
0.503 0.200 0.785 O
0.211 0.856 0.792 O
0.792 0.211 0.856 O
0.015 0.090 0.901 O
0.721 0.526 0.922 O